VASP calculation (PBE) on crystalline GeHPd at its relaxed geometry.

Values from the calculation:
SG: No. 12
E, eV per atom: -4.466
V, Å³ per atom: 12.72
DOS(E_F), states/eV/f.u.: 0.505
Crystal system: monoclinic

Cell and atoms, written as extended XYZ:
```
6
Lattice="3.483 0.011 0.009 -0.006 3.483 0.009 -1.720 -1.728 6.280" Properties=species:S:1:pos:R:3 pbc="T T T"
H 0.015 0.015 0.600
H 1.742 1.751 5.697
Pd 1.747 1.755 4.015
Pd 0.011 0.011 2.282
Ge 1.743 1.752 1.362
Ge 0.014 0.014 4.935
```

***

VASP calculation (PBE) on crystalline GeH6Pd6 at its relaxed geometry.

Values from the calculation:
SG: No. 191
E, eV per atom: -4.193
V, Å³ per atom: 10.88
DOS(E_F), states/eV/f.u.: 3.694
Crystal system: hexagonal

Cell and atoms, written as extended XYZ:
```
13
Lattice="4.636 0.000 0.000 -2.318 4.015 0.000 0.000 0.000 7.596" Properties=species:S:1:pos:R:3 pbc="T T T"
H 2.318 0.000 2.602
H 2.318 0.000 4.994
H -1.159 2.008 4.994
H 1.159 2.008 4.994
H 1.159 2.008 2.602
H -1.159 2.008 2.602
Pd 2.318 1.338 0.000
Pd 2.318 1.338 3.798
Pd 0.000 2.677 3.798
Pd 0.000 0.000 2.398
Pd 0.000 0.000 5.197
Pd 0.000 2.677 0.000
Ge 0.000 0.000 0.000
```

***

VASP calculation (PBE) on crystalline GeH2Pd6 at its relaxed geometry.

Values from the calculation:
SG: No. 2
E, eV per atom: -4.868
V, Å³ per atom: 13.47
DOS(E_F), states/eV/f.u.: 2.464
Crystal system: triclinic

Cell and atoms, written as extended XYZ:
```
9
Lattice="-0.292 0.391 -4.813 6.032 -0.217 -1.823 -4.264 -3.841 -0.071" Properties=species:S:1:pos:R:3 pbc="T T T"
Pd 2.138 -0.052 -4.497
Pd 0.624 -2.676 -4.640
Pd 0.852 -0.991 -2.068
Pd -0.662 -3.614 -2.211
Pd -1.726 -1.297 -3.667
Pd 3.202 -2.370 -3.041
H -0.337 -2.035 -2.907
H 1.813 -1.631 -3.801
Ge 0.000 0.000 0.000
```

***

VASP calculation (PBE) on crystalline Ge5H2Pd12 at its relaxed geometry.

Values from the calculation:
SG: No. 12
E, eV per atom: -5.117
V, Å³ per atom: 15.57
DOS(E_F), states/eV/f.u.: 8.550
Crystal system: monoclinic

Cell and atoms, written as extended XYZ:
```
19
Lattice="5.942 0.000 0.000 -2.971 7.128 -0.348 0.000 -2.871 7.126" Properties=species:S:1:pos:R:3 pbc="T T T"
Pd 4.512 2.084 0.417
Pd 1.541 2.172 6.361
Pd 1.495 0.510 3.865
Pd 2.971 4.506 5.377
Pd 4.447 0.510 3.865
Pd 0.000 -0.250 1.401
Pd 0.000 4.729 5.366
Pd 1.430 2.084 0.417
Pd -1.541 2.172 6.361
Pd -1.476 3.746 2.912
Pd 1.476 3.746 2.912
Pd 2.971 -0.473 1.412
Ge 0.000 4.101 0.935
Ge 0.000 2.410 4.429
Ge 2.971 0.156 5.843
Ge 0.000 -1.436 3.563
Ge 2.971 1.847 2.349
H 4.611 0.000 0.000
H 1.331 0.000 0.000
```